DFT (PBE+U) results for crystalline K2TmV3F12 at its relaxed geometry.

DOS(E_F), states/eV/cell: 2.44
Total magnetization, Bohr magnetons per cell: 8.00
Space-group type: R-3m
E_tot, eV/cell: -107.15

Unit cell a=7.842 b=7.842 c=7.842 alpha=58.84 beta=58.84 gamma=58.84
Atoms (fractional coordinates):
K 0.190 0.190 0.190
K 0.810 0.810 0.810
Tm 0.500 0.500 0.500
V 0.000 0.500 0.500
V 0.500 0.000 0.500
V 0.500 0.500 0.000
F 0.171 0.574 0.574
F 0.188 0.188 0.553
F 0.188 0.553 0.188
F 0.426 0.426 0.829
F 0.426 0.829 0.426
F 0.447 0.812 0.812
F 0.553 0.188 0.188
F 0.574 0.171 0.574
F 0.574 0.574 0.171
F 0.812 0.447 0.812
F 0.812 0.812 0.447
F 0.829 0.426 0.426